(A)
First-principles (GGA-PBE) data for an optimized crystal structure of Y3Cd4, as listed in Alexandria.

The structure belongs to space group I4/mmm (No. 139); the cell edges are 3.890, 3.890 and 24.237 Å and the angles 90.00°, 90.00° and 90.00°. The inequivalent atoms are Y at (0.000, 0.000, 0.000), Y at (0.000, 0.000, 0.292), Cd at (0.000, 0.000, 0.137) and Cd at (0.000, 0.000, 0.430).

The calculation puts the size of the total moment at 0.26 μB per cell.

=====

(B)
First-principles (GGA-PBE) data for an optimized crystal structure of Y3Cd4, as listed in Alexandria.

The structure belongs to space group P6/mmm (No. 191); the cell edges are 6.5338, 6.5338 and 5.4866 Å and the angles 90.00°, 90.00° and 120.00°. The inequivalent atoms are Y at (0.0000, 0.5000, 0.0000), Cd at (0.0000, 0.0000, 0.2497) and Cd at (0.3333, 0.6667, 0.5000).

The calculation puts the size of the total moment at 0.00 μB per cell.

=====

Which of the structures shown above is the most stable? The most stable is (A).